The following is a DFT calculation (PBE-GGA) of crystalline ErSc2Ag3S6 at its relaxed geometry.

a b c (Å): 6.6798 6.6798 6.6401
angles (deg): 99.42 99.42 120.06
Positions (direct):
Ag 0.5000 0.5000 0.5000
S 0.7299 0.7299 0.2297
S 0.4193 0.0744 0.2284
Sc 0.3324 0.6676 0.0000
Er 0.0000 0.0000 0.0000
S 0.2701 0.2701 0.7703
S 0.0744 0.4193 0.2284
S 0.9256 0.5807 0.7716
S 0.5807 0.9256 0.7716
Ag 0.8377 0.1623 0.5000
Sc 0.6676 0.3324 0.0000
Ag 0.1623 0.8377 0.5000

## Properties
Uncorrected formation energy: -1.203 eV/atom
Electronic total energy: -5.41 eV/atom

---

The following is a DFT calculation (PBE-GGA) of crystalline Er2AgSeS3 at its relaxed geometry.

a b c (Å): 7.9481 7.9481 7.9481
angles (deg): 60.23 60.23 60.23
Positions (direct):
Er 0.0000 0.5000 0.0000
Er 0.0000 0.0000 0.5000
S 0.7584 0.2214 0.7584
S 0.7786 0.2416 0.2416
Ag 0.6117 0.6117 0.6117
Ag 0.3883 0.3883 0.3883
Er 0.5000 0.0000 0.0000
S 0.2214 0.7584 0.7584
S 0.2416 0.2416 0.7786
Er 0.0000 0.0000 0.0000
S 0.7584 0.7584 0.2214
Se 0.7487 0.7487 0.7487
Se 0.2513 0.2513 0.2513
S 0.2416 0.7786 0.2416

## Properties
Uncorrected formation energy: -1.377 eV/atom
Electronic total energy: -5.35 eV/atom